A relaxed structure of Tb2RhAu, computed with PBE-GGA.

abc: 4.485 5.704 7.655
angles: 110.43 90.00 90.00
Atoms (fractional coordinates):
Tb: 0.750 0.213 0.435
Tb: 0.250 0.787 0.565
Tb: 0.250 0.769 0.074
Tb: 0.750 0.231 0.926
Rh: 0.750 0.676 0.291
Rh: 0.250 0.324 0.709
Au: 0.250 0.327 0.209
Au: 0.750 0.673 0.791

Results
- Density of states at the Fermi level: 0.77 states/eV/atom
- E: -46.64 eV/cell
- Energy relative to the elements: -3.429 eV per formula unit